! ErAlSn (PBE, optimized geometry); values from VASP
&SYSTEM
  ibrav = 0, nat = 3, ntyp = 3
/
ATOMIC_SPECIES
Al 26.98 Al.upf
Sn 118.71 Sn.upf
Er 167.26 Er.upf
CELL_PARAMETERS angstrom
-0.4914 -2.8592 -2.8014
-0.4801 -3.0946 3.2427
-3.6125 2.1783 -1.5896
ATOMIC_POSITIONS crystal
Al 0.1021 0.0000 0.0000
Sn 0.2200 0.3333 0.6667
Er 0.6779 0.6667 0.3333
! Size of the total moment in μB per formula unit: 0.00
! Space-group type: No. 156
! Density of states at the Fermi level in states/eV/cell: 0.60
! Calculated total energy in eV per atom: -4.478
! Energy of formation in meV per atom: -375.5